No. 1
Entry from the Alexandria database: an optimized crystal structure of Ga3NiAu (PBE-GGA).

Results
**Energy above the lowest structure with this stoichiometry**: 0.000 eV per formula unit
**Energy relative to the elements**: -0.220 eV per atom
**DOS at the Fermi energy**: 11.2 states/eV/cell
**Total magnetization**: 0.0 μB/cell
**Raw total energy**: -0.2828 Ry per atom

```
data_Ga3NiAu
_cell_length_a 4.1169
_cell_length_b 12.8897
_cell_length_c 12.5299
_cell_angle_alpha 90.00
_cell_angle_beta 90.00
_cell_angle_gamma 90.00
_symmetry_space_group_name_H-M 'I m m a'
_symmetry_Int_Tables_number 74
_symmetry_space_group_name_Hall '-I 2b 2'
loop_
_atom_site_label
_atom_site_fract_x
_atom_site_fract_y
_atom_site_fract_z
Ga1 0.0000 0.1324 0.1633
Ga2 0.0000 0.1353 0.4965
Ga3 0.0000 0.1483 0.8409
Ni1 0.0000 0.2500 0.0089
Ni2 0.0000 0.2500 0.3281
Au1 0.0000 0.0120 0.6612
```

No. 2
Entry from the Alexandria database: an optimized crystal structure of NaCuI3 (PBE-GGA).

Results
**Energy above the lowest structure with this stoichiometry**: 0.000 eV per formula unit
**DOS at the Fermi energy**: 27.0 states/eV/cell
**Total magnetization**: 0.0 μB/cell
**Raw total energy**: -0.1838 Ry per atom

```
data_NaCuI3
_cell_length_a 7.2397
_cell_length_b 7.2397
_cell_length_c 25.9957
_cell_angle_alpha 90.00
_cell_angle_beta 90.00
_cell_angle_gamma 120.00
_symmetry_space_group_name_H-M 'R -3'
_symmetry_Int_Tables_number 148
_symmetry_space_group_name_Hall '-R 3'
loop_
_atom_site_label
_atom_site_fract_x
_atom_site_fract_y
_atom_site_fract_z
Na1 0.0000 0.0000 0.1666
Cu1 0.0000 0.0000 0.4213
I1 0.9998 0.3441 0.5833
```

No. 3
Entry from the Alexandria database: an optimized crystal structure of Sb2TeAuI (PBE-GGA).

Results
**Energy above the lowest structure with this stoichiometry**: 0.010 eV per formula unit
**DOS at the Fermi energy**: 4.1 states/eV/cell
**Total magnetization**: 0.0 μB/cell
**Raw total energy**: -0.2008 Ry per atom

```
data_Sb2TeAuI
_cell_length_a 5.5196
_cell_length_b 5.5196
_cell_length_c 5.3802
_cell_angle_alpha 90.00
_cell_angle_beta 90.00
_cell_angle_gamma 90.00
_symmetry_space_group_name_H-M 'P 4/m m m'
_symmetry_Int_Tables_number 123
_symmetry_space_group_name_Hall '-P 4 2'
loop_
_atom_site_label
_atom_site_fract_x
_atom_site_fract_y
_atom_site_fract_z
Sb1 0.0000 0.5000 0.0000
Te1 0.0000 0.0000 0.5000
Au1 0.5000 0.5000 0.0000
I1 0.5000 0.5000 0.5000
```

No. 4
Entry from the Alexandria database: an optimized crystal structure of CaPrSb2O6 (PBE-GGA).

Results
**Energy above the lowest structure with this stoichiometry**: 3.319 eV per formula unit
**DOS at the Fermi energy**: 12.1 states/eV/cell
**Total magnetization**: 0.0 μB/cell
**Raw total energy**: -0.4579 Ry per atom

```
data_CaPrSb2O6
_cell_length_a 8.4884
_cell_length_b 8.4884
_cell_length_c 8.4884
_cell_angle_alpha 90.00
_cell_angle_beta 90.00
_cell_angle_gamma 90.00
_symmetry_space_group_name_H-M 'F m -3 m'
_symmetry_Int_Tables_number 225
_symmetry_space_group_name_Hall '-F 4 2 3'
loop_
_atom_site_label
_atom_site_fract_x
_atom_site_fract_y
_atom_site_fract_z
Ca1 0.0000 0.0000 0.0000
Pr1 0.0000 0.0000 0.5000
Sb1 0.2500 0.2500 0.2500
O1 0.0000 0.2500 0.2500
```